Material: Na2TaIr
Method: DFT, PBE
State: relaxed

Geometry as CIF:
```
data_Na2TaIr
_space_group_name_H-M_alt 'I -4 2 d'
_space_group_IT_number 122
_space_group_name_Hall 'I -4 2bw'
_cell_length_a 8.6764
_cell_length_b 8.6764
_cell_length_c 4.9263
_cell_angle_alpha 90.00
_cell_angle_beta 90.00
_cell_angle_gamma 90.00
loop_
_atom_site_label
_atom_site_type_symbol
_atom_site_fract_x
_atom_site_fract_y
_atom_site_fract_z
Na1 Na 0.1982 0.7500 0.1250
Ta1 Ta 0.0000 0.0000 0.5000
Ir1 Ir 0.0000 0.0000 0.0000
```

The value obtained for the volume is 23.2 Å³ per atom. For the calculated total energy, the calculation gives -4.72 eV per atom. As for the energy of formation: 430 kJ/mol of formula units. The distance to the lowest polymorph of the same formula is 0 meV per atom.